Fe2Bi2O | PBE+U | optimized geometry

Properties
Calculated total energy in Ry/atom: -0.3524
Space-group type: No. 127
Relative energy among the computed polymorphs in meV per atom: 0
Magnetization in μB per formula unit: 7.71

a = 6.113 Å, b = 6.113 Å, c = 5.834 Å
α = 90.00°, β = 90.00°, γ = 90.00°
Fractional positions:
1 Fe 0.225 0.275 0.000
2 Fe 0.275 0.775 0.000
3 Fe 0.725 0.225 0.000
4 Fe 0.775 0.725 0.000
5 Bi 0.190 0.690 0.500
6 Bi 0.310 0.190 0.500
7 Bi 0.690 0.810 0.500
8 Bi 0.810 0.310 0.500
9 O 0.000 0.000 0.000
10 O 0.500 0.500 0.000